No. 1
Entry from Alexandria via LeMat-Bulk: a relaxed structure of K2In2Sn (PBE).

Unit cell a=7.856 b=7.856 c=5.888 alpha=90.00 beta=90.00 gamma=90.00
Element x y z (fractional)
K  0.182  0.318  0.000
K  0.318  0.818  0.000
K  0.682  0.182  0.000
K  0.818  0.682  0.000
In  0.132  0.632  0.500
In  0.368  0.132  0.500
In  0.632  0.868  0.500
In  0.868  0.368  0.500
Sn  0.000  0.000  0.500
Sn  0.500  0.500  0.500

## Properties
energy above the lowest structure with this stoichiometry: 10 meV/atom
E: -2.42 eV/atom
DFT formation energy: -0.45 eV per formula unit
SG: P4/mbm, No. 127
crystal system: tetragonal

No. 2
Entry from Alexandria via LeMat-Bulk: a relaxed structure of KIn2Sn (PBE).

Unit cell a=9.808 b=9.808 c=9.808 alpha=27.98 beta=27.98 gamma=27.98
Element x y z (fractional)
K  0.000  0.000  0.000
In  0.122  0.122  0.122
In  0.878  0.878  0.878
Sn  0.500  0.500  0.500

## Properties
E: -2.53 eV/atom
DFT formation energy: 0.45 eV per formula unit
SG: R-3m, No. 166
crystal system: trigonal

No. 3
Entry from Alexandria via LeMat-Bulk: a relaxed structure of K3In5Sn2 (PBE).

Unit cell a=10.431 b=10.431 c=10.431 alpha=107.21 beta=87.67 gamma=138.13
Element x y z (fractional)
K  0.124  0.740  0.865
K  0.250  0.250  0.000
K  0.376  0.240  0.616
K  0.624  0.760  0.384
K  0.750  0.750  0.000
K  0.876  0.260  0.135
In  0.005  0.750  0.255
In  0.125  0.370  0.495
In  0.250  0.750  0.500
In  0.375  0.870  0.245
In  0.495  0.750  0.745
In  0.505  0.250  0.255
In  0.625  0.130  0.755
In  0.750  0.250  0.500
In  0.875  0.630  0.505
In  0.995  0.250  0.745
Sn  0.152  0.138  0.291
Sn  0.348  0.638  0.986
Sn  0.652  0.362  0.014
Sn  0.848  0.862  0.709

## Properties
E: -2.61 eV/atom
DFT formation energy: -1.14 eV per formula unit
SG: Ibam, No. 72
crystal system: orthorhombic

No. 4
Entry from Alexandria via LeMat-Bulk: a relaxed structure of KInSn (PBE).

Unit cell a=5.162 b=5.162 c=8.135 alpha=90.00 beta=90.00 gamma=120.00
Element x y z (fractional)
K  0.000  0.000  0.000
K  0.000  0.000  0.500
In  0.333  0.667  0.303
In  0.667  0.333  0.803
Sn  0.333  0.667  0.700
Sn  0.667  0.333  0.200

## Properties
E: -2.80 eV/atom
DFT formation energy: -0.56 eV per formula unit
SG: P6_3mc, No. 186
crystal system: hexagonal

No. 5
Entry from Alexandria via LeMat-Bulk: a relaxed structure of KIn2Sn (PBE).

Unit cell a=4.891 b=4.891 c=4.922 alpha=90.00 beta=90.00 gamma=90.00
Element x y z (fractional)
K  0.000  0.000  0.000
In  0.000  0.500  0.500
In  0.500  0.000  0.500
Sn  0.500  0.500  0.000

## Properties
E: -2.64 eV/atom
DFT formation energy: 0.03 eV per formula unit
SG: P4/mmm, No. 123
crystal system: tetragonal

No. 6
Entry from Alexandria via LeMat-Bulk: a relaxed structure of KInSn (PBE).

Unit cell a=8.070 b=8.070 c=8.144 alpha=90.00 beta=90.00 gamma=90.00
Element x y z (fractional)
K  0.000  0.352  0.000
K  0.000  0.648  0.500
K  0.352  0.000  0.750
K  0.648  0.000  0.250
In  0.342  0.342  0.375
In  0.342  0.658  0.125
In  0.658  0.342  0.625
In  0.658  0.658  0.875
Sn  0.307  0.500  0.750
Sn  0.500  0.307  0.000
Sn  0.500  0.693  0.500
Sn  0.693  0.500  0.250

## Properties
E: -2.70 eV/atom
DFT formation energy: -0.27 eV per formula unit
SG: P4_122, No. 91
crystal system: tetragonal

No. 7
Entry from Alexandria via LeMat-Bulk: a relaxed structure of K2In3Sn5 (PBE).

Unit cell a=5.288 b=5.288 c=11.741 alpha=90.00 beta=90.00 gamma=90.00
Element x y z (fractional)
K  0.000  0.500  0.247
K  0.500  0.000  0.753
In  0.000  0.000  0.000
In  0.000  0.500  0.873
In  0.500  0.000  0.127
Sn  0.000  0.000  0.500
Sn  0.000  0.500  0.624
Sn  0.500  0.000  0.376
Sn  0.500  0.500  0.000
Sn  0.500  0.500  0.500

## Properties
energy above the lowest structure with this stoichiometry: 15 meV/atom
E: -3.17 eV/atom
DFT formation energy: -1.31 eV per formula unit
SG: P-4m2, No. 115
crystal system: tetragonal

No. 8
Entry from Alexandria via LeMat-Bulk: a relaxed structure of KIn4Sn3 (PBE).

Unit cell a=5.528 b=5.528 c=8.346 alpha=90.00 beta=90.00 gamma=90.00
Element x y z (fractional)
K  0.000  0.000  0.000
In  0.000  0.500  0.316
In  0.000  0.500  0.684
In  0.500  0.000  0.316
In  0.500  0.000  0.684
Sn  0.000  0.000  0.500
Sn  0.500  0.500  0.175
Sn  0.500  0.500  0.825

## Properties
E: -3.06 eV/atom
DFT formation energy: -0.43 eV per formula unit
SG: P4/mmm, No. 123
crystal system: tetragonal